[1]
CrCo4Cl: optimized geometry, PBE-GGA.

Properties
ΔE_f (raw) (meV/atom): 681

POSCAR file:
```
CrCo4Cl
1.0
0.0000 3.4307 3.4307
3.4307 0.0000 3.4307
3.4307 3.4307 0.0000
Cr Co Cl
1 4 1
direct
0.0000 0.0000 0.0000
0.3742 0.3742 0.3742
0.3742 0.3742 0.8774
0.3742 0.8774 0.3742
0.8774 0.3742 0.3742
0.7500 0.7500 0.7500
```


[2]
SrBP2O: optimized geometry, PBE-GGA.

Properties
ΔE_f (raw) (meV/atom): -158
Relative energy among the computed polymorphs (meV/atom): 0.0

POSCAR file:
```
SrBP2O
1.0
3.7721 0.0000 0.0000
0.0000 3.7721 0.0000
0.0000 0.0000 6.4336
Sr B P O
1 1 2 1
direct
0.0000 0.0000 0.0000
0.0000 0.0000 0.5000
0.0000 0.5000 0.5000
0.5000 0.0000 0.5000
0.5000 0.5000 0.0000
```


[3]
Zr3TlRu: optimized geometry, PBE-GGA.

Properties
Formation energy (eV per atom): 0.22
Relative energy among the computed polymorphs (meV/atom): 0.0

POSCAR file:
```
Zr3TlRu
1.0
5.0259 0.0000 0.0000
0.0000 5.0259 0.0000
0.0000 0.0000 5.0259
Zr Tl Ru
3 1 1
direct
0.0000 0.0000 0.5000
0.0000 0.5000 0.0000
0.5000 0.0000 0.0000
0.5000 0.5000 0.5000
0.0000 0.0000 0.0000
```


[4]
GdLuZn2: optimized geometry, PBE-GGA.

Properties
Formation energy (eV per atom): -0.34
Relative energy among the computed polymorphs (meV/atom): 7.4

POSCAR file:
```
GdLuZn2
1.0
5.0100 0.0000 0.0000
0.0000 5.0100 0.0000
0.0000 0.0000 3.5620
Gd Lu Zn
1 1 2
direct
0.0000 0.0000 0.0000
0.5000 0.5000 0.0000
0.0000 0.5000 0.5000
0.5000 0.0000 0.5000
```


[5]
Tb3DyHg7: optimized geometry, PBE-GGA.

Properties
Formation energy (eV per atom): -0.22

POSCAR file:
```
Tb3DyHg7
1.0
1.8001 -15.4423 0.0000
1.8001 15.4423 0.0000
0.0000 0.0000 12.9105
Tb Dy Hg
6 2 14
direct
0.0702 0.9298 0.5479
0.0702 0.9298 0.9521
0.1895 0.8105 0.2500
0.8105 0.1895 0.7500
0.9298 0.0702 0.0479
0.9298 0.0702 0.4521
0.0699 0.9301 0.2500
0.9301 0.0699 0.7500
0.2689 0.7311 0.5789
0.2689 0.7311 0.9211
0.3718 0.6282 0.6020
0.3718 0.6282 0.8980
0.4258 0.5742 0.2500
0.4883 0.5117 0.6137
0.4883 0.5117 0.8863
0.5117 0.4883 0.1137
0.5117 0.4883 0.3863
0.5742 0.4258 0.7500
0.6282 0.3718 0.1020
0.6282 0.3718 0.3980
0.7311 0.2689 0.0789
0.7311 0.2689 0.4211
```


[6]
Li3HRh: optimized geometry, PBE-GGA.

Properties
Relative energy among the computed polymorphs (meV/atom): 0.0

POSCAR file:
```
Li3HRh
1.0
2.7485 -4.7485 0.0000
2.7485 4.7485 0.0000
0.0000 0.0000 4.4892
Li H Rh
6 2 2
direct
0.0879 0.9121 0.5000
0.0921 0.4289 0.5202
0.4289 0.0921 0.0202
0.5711 0.9079 0.5202
0.9079 0.5711 0.0202
0.9121 0.0879 0.0000
0.2652 0.7348 0.2276
0.7348 0.2652 0.7276
0.4202 0.5798 0.0433
0.5798 0.4202 0.5433
```


[7]
Nd7Tl2Ir2: optimized geometry, PBE-GGA.

Properties
Formation energy (eV per atom): -0.39
Relative energy among the computed polymorphs (meV/atom): 0.0

POSCAR file:
```
Nd7Tl2Ir2
1.0
-2.2891 7.6218 4.7234
2.2891 -7.6218 4.7234
2.2891 7.6218 -4.7234
Nd Tl Ir
7 2 2
direct
0.0000 0.0000 0.0000
0.0480 0.3736 0.6743
0.1744 0.7930 0.3814
0.4116 0.7930 0.6186
0.5035 0.6088 0.8947
0.6993 0.3736 0.3257
0.7141 0.6088 0.1053
0.3078 0.0802 0.2276
0.8526 0.0802 0.7724
0.3426 0.3426 0.0000
0.7857 0.2857 0.5000
```


[8]
AsP2Pb: optimized geometry, PBE-GGA.

Properties
Formation energy (eV per atom): 0.62
Relative energy among the computed polymorphs (meV/atom): 423.1

POSCAR file:
```
AsP2Pb
1.0
-1.9681 1.9681 5.4171
1.9681 -1.9681 5.4171
1.9681 1.9681 -5.4171
As P Pb
1 2 1
direct
0.0000 0.0000 0.0000
0.2500 0.7500 0.5000
0.5000 0.5000 0.0000
0.7500 0.2500 0.5000
```


[9]
SrAcIrI: optimized geometry, PBE-GGA.

Properties
ΔE_f (raw) (meV/atom): -878

POSCAR file:
```
SrAcIrI
1.0
2.1907 1.2648 8.4811
-2.1907 1.2648 8.4811
0.0000 -2.5297 8.4811
Sr Ac Ir I
1 1 1 1
direct
0.0000 0.0000 0.0000
0.7930 0.7930 0.7930
0.4027 0.4027 0.4027
0.2325 0.2325 0.2325
```


[10]
Pm2CuNiH6: optimized geometry, PBE-GGA.

Properties
Energy (eV per cell): -43.2

POSCAR file:
```
Pm2CuNiH6
1.0
3.6173 -3.6440 0.0000
3.6173 3.6440 0.0000
-3.6086 0.0000 3.6277
Pm Cu Ni H
2 1 1 6
direct
0.2498 0.7502 0.0000
0.7502 0.2498 0.0000
0.0000 0.0000 0.5000
0.5000 0.5000 0.5000
0.2608 0.2608 0.0216
0.2614 0.7386 0.5000
0.2623 0.2623 0.5017
0.7377 0.7377 0.4983
0.7386 0.2614 0.5000
0.7392 0.7392 0.9784
```


[11]
Nd3YTm3Se8: optimized geometry, PBE-GGA.

Properties
ΔE_f (raw) (meV/atom): -1833

POSCAR file:
```
Nd3YTm3Se8
1.0
4.0861 2.3591 6.7890
-4.0861 2.3591 6.7890
0.0000 -4.7183 6.7890
Nd Y Tm Se
3 1 3 8
direct
0.0000 0.5000 0.5000
0.5000 0.0000 0.5000
0.5000 0.5000 0.0000
0.5000 0.5000 0.5000
0.0000 0.0000 0.5000
0.0000 0.5000 0.0000
0.5000 0.0000 0.0000
0.2362 0.7513 0.7513
0.2438 0.2438 0.2438
0.2487 0.2487 0.7638
0.2487 0.7638 0.2487
0.7513 0.2362 0.7513
0.7513 0.7513 0.2362
0.7562 0.7562 0.7562
0.7638 0.2487 0.2487
```


[12]
HgPt2Se: optimized geometry, PBE-GGA.

Properties
ΔE_f (raw) (meV/atom): 98

POSCAR file:
```
HgPt2Se
1.0
1.6412 0.9475 7.9340
-1.6412 0.9475 7.9340
0.0000 -1.8951 7.9340
Hg Pt Se
1 2 1
direct
0.0000 0.0000 0.0000
0.2436 0.2436 0.2436
0.7564 0.7564 0.7564
0.5000 0.5000 0.5000
```


[13]
TmScCoOs: optimized geometry, PBE-GGA.

Properties
Formation energy (eV per atom): -0.28

POSCAR file:
```
TmScCoOs
1.0
0.0000 3.2540 3.2540
3.2540 0.0000 3.2540
3.2540 3.2540 0.0000
Tm Sc Co Os
1 1 1 1
direct
0.0000 0.0000 0.0000
0.5000 0.5000 0.5000
0.2500 0.2500 0.2500
0.7500 0.7500 0.7500
```


[14]
CaBiP2O8: optimized geometry, PBE-GGA.

Properties
ΔE_f (raw) (meV/atom): -2086

POSCAR file:
```
CaBiP2O8
1.0
5.3643 0.0000 0.0000
-2.6821 4.6456 0.0000
0.0000 0.0000 7.1564
Ca Bi P O
1 1 2 8
direct
0.0000 0.0000 0.0000
0.0000 0.0000 0.5000
0.3333 0.6667 0.7940
0.6667 0.3333 0.2060
0.1672 0.3473 0.7271
0.1801 0.8328 0.7271
0.3333 0.6667 0.0071
0.3473 0.1801 0.2729
0.6527 0.8199 0.7271
0.6667 0.3333 0.9929
0.8199 0.1672 0.2729
0.8328 0.6527 0.2729
```


[15]
Pr3NdHo2S6: optimized geometry, PBE-GGA.

Properties
ΔE_f (raw) (meV/atom): -2011

POSCAR file:
```
Pr3NdHo2S6
1.0
3.4667 -6.0207 0.0000
3.4667 6.0207 0.0000
-2.3184 0.0000 6.6380
Pr Nd Ho S
3 1 2 6
direct
0.0000 0.0000 0.0000
0.3380 0.6620 0.0000
0.6620 0.3380 0.0000
0.5000 0.5000 0.5000
0.1663 0.8337 0.5000
0.8337 0.1663 0.5000
0.0776 0.4215 0.2640
0.2335 0.2335 0.7321
0.4215 0.0776 0.2640
0.5785 0.9224 0.7360
0.7665 0.7665 0.2679
0.9224 0.5785 0.7360
```


[16]
Na4Tl2Hg5: optimized geometry, PBE-GGA.

Properties
Formation energy (eV per atom): -0.18
Relative energy among the computed polymorphs (meV/atom): 0.0

POSCAR file:
```
Na4Tl2Hg5
1.0
8.3153 0.0000 0.0000
0.0000 3.4446 0.0000
-3.7569 0.0000 10.4682
Na Tl Hg
4 2 5
direct
0.2398 0.0000 0.3638
0.2489 0.0000 0.7713
0.7511 0.0000 0.2287
0.7602 0.0000 0.6362
0.3644 0.5000 0.0843
0.6356 0.5000 0.9157
0.0000 0.5000 0.5000
0.0061 0.5000 0.1377
0.4230 0.5000 0.6126
0.5770 0.5000 0.3874
0.9939 0.5000 0.8623
```


[17]
TaTl3S4: optimized geometry, PBE-GGA.

Properties
ΔE_f (raw) (meV/atom): -664

POSCAR file:
```
TaTl3S4
1.0
9.1828 0.0000 0.0000
0.0000 9.3243 0.0000
0.0000 0.0000 6.3733
Ta Tl S
2 6 8
direct
0.0000 0.2047 0.0000
0.5000 0.7953 0.5000
0.0000 0.8887 0.3899
0.2062 0.6659 0.8813
0.2938 0.3341 0.3813
0.5000 0.1113 0.8899
0.7062 0.3341 0.3813
0.7938 0.6659 0.8813
0.0000 0.2111 0.3606
0.0000 0.9673 0.9131
0.2109 0.3193 0.9022
0.2891 0.6807 0.4022
0.5000 0.0327 0.4131
0.5000 0.7889 0.8606
0.7109 0.6807 0.4022
0.7891 0.3193 0.9022
```


[18]
Li4CePt: optimized geometry, PBE-GGA.

Properties
Formation energy (eV per atom): -0.16

POSCAR file:
```
Li4CePt
1.0
0.0000 3.6840 3.6840
3.6840 0.0000 3.6840
3.6840 3.6840 0.0000
Li Ce Pt
4 1 1
direct
0.1216 0.1216 0.1216
0.1216 0.1216 0.6352
0.1216 0.6352 0.1216
0.6352 0.1216 0.1216
0.5000 0.5000 0.5000
0.7500 0.7500 0.7500
```


[19]
Sr2AcTl6: optimized geometry, PBE-GGA.

Properties
Formation energy (eV per atom): -0.28

POSCAR file:
```
Sr2AcTl6
1.0
9.3658 0.0000 0.0000
-4.6829 8.1110 0.0000
0.0000 0.0000 3.8782
Sr Ac Tl
2 1 6
direct
0.3333 0.6667 0.0000
0.6667 0.3333 0.0000
0.0000 0.0000 0.0000
0.0000 0.3332 0.5000
0.0000 0.6668 0.5000
0.3332 0.0000 0.5000
0.3332 0.3332 0.5000
0.6668 0.0000 0.5000
0.6668 0.6668 0.5000
```


[20]
CaMgCo2: optimized geometry, PBE-GGA.

Properties
Formation energy (eV per atom): 0.18

POSCAR file:
```
CaMgCo2
1.0
3.1182 0.0000 0.0000
0.0000 3.1182 0.0000
0.0000 0.0000 7.5661
Ca Mg Co
1 1 2
direct
0.0000 0.0000 0.0000
0.5000 0.5000 0.6310
0.0000 0.0000 0.3993
0.5000 0.5000 0.2748
```